1.
Compound: SmHf3Bi4
Source: OQMD via LeMat-Bulk
Functional: PBE-GGA
Structure: optimized geometry

- SG: No. 121
- VASP energy: -47.8 eV/cell

```
SmHf3Bi4
1.0
-3.3673 3.3673 6.6914
3.3673 -3.3673 6.6914
3.3673 3.3673 -6.6914
Sm Hf Bi
1 3 4
direct
0.0000 0.0000 0.0000
0.2500 0.7500 0.5000
0.5000 0.5000 0.0000
0.7500 0.2500 0.5000
0.1332 0.1332 0.5309
0.3978 0.8668 0.0000
0.6022 0.6022 0.4691
0.8668 0.3978 0.0000
```



2.
Compound: KErCdSe3
Source: OQMD via LeMat-Bulk
Functional: PBE-GGA
Structure: optimized geometry

- SG: No. 12
- VASP energy: -49.4 eV/cell

```
KErCdSe3
1.0
8.9330 -2.0857 0.0000
8.9330 2.0857 0.0000
-2.1639 0.0000 8.9808
K Er Cd Se
2 2 2 6
direct
0.1426 0.1426 0.0671
0.8574 0.8574 0.9329
0.1734 0.1734 0.5856
0.8266 0.8266 0.4144
0.4895 0.4895 0.2799
0.5105 0.5105 0.7201
0.0000 0.0000 0.5000
0.3315 0.3315 0.2112
0.3346 0.3346 0.6301
0.5000 0.5000 0.0000
0.6654 0.6654 0.3699
0.6685 0.6685 0.7888
```



3.
Compound: TlPd4C2S
Source: OQMD via LeMat-Bulk
Functional: PBE-GGA
Structure: optimized geometry

- SG: No. 187
- VASP energy: -40.8 eV/cell

```
TlPd4C2S
1.0
3.3071 0.0000 0.0000
-1.6535 2.8640 0.0000
0.0000 0.0000 12.6379
Tl Pd C S
1 4 2 1
direct
0.0000 0.0000 0.0000
0.0000 0.0000 0.3580
0.0000 0.0000 0.6420
0.6667 0.3333 0.1889
0.6667 0.3333 0.8111
0.3333 0.6667 0.2708
0.3333 0.6667 0.7292
0.6667 0.3333 0.5000
```



4.
Compound: CsAu
Source: OQMD via LeMat-Bulk
Functional: PBE-GGA
Structure: optimized geometry

- SG: No. 221
- E above lowest polymorph: 0.1 meV per atom

```
CsAu
1.0
4.2620 0.0000 0.0000
0.0000 4.2620 0.0000
0.0000 0.0000 4.2620
Cs Au
1 1
direct
0.0000 0.0000 0.0000
0.5000 0.5000 0.5000
```